Arrangement P

Material: YPu2Si
Method: DFT, PBE
State: optimized geometry

## Properties
magnetization = 11.640 μB/cell
D(E_F) = 9.88 states/eV/f.u.
space group = P4/mmm (123)
V = 23.27 Å³ per atom

a = 4.356 Å, b = 4.356 Å, c = 4.905 Å
α = 90.00°, β = 90.00°, γ = 90.00°
Fractional coordinates of all 4 atoms:
Y 0.000 0.000 0.000
Pu 0.000 0.500 0.500
Pu 0.500 0.000 0.500
Si 0.500 0.500 0.000

***

Arrangement Q

Material: YPu2Si
Method: DFT, PBE
State: optimized geometry

## Properties
magnetization = 11.536 μB/cell
D(E_F) = 14.15 states/eV/f.u.
space group = R-3m (166)
V = 26.43 Å³ per atom

a = 10.380 Å, b = 10.380 Å, c = 10.380 Å
α = 19.20°, β = 19.20°, γ = 19.20°
Fractional coordinates of all 4 atoms:
Y 0.000 0.000 0.000
Pu 0.235 0.235 0.235
Pu 0.765 0.765 0.765
Si 0.500 0.500 0.500

***

Of them, arrangement Q has the lowest stability.

***

Arrangement P

Material: YPuSi
Method: DFT, PBE
State: optimized geometry

## Properties
magnetization = 6.476 μB/cell
D(E_F) = 7.37 states/eV/f.u.
space group = I4mm (107)
V = 26.97 Å³ per atom

a = 8.361 Å, b = 8.361 Å, c = 8.361 Å
α = 158.15°, β = 158.15°, γ = 31.09°
Fractional coordinates of all 3 atoms:
Y 0.000 0.000 0.000
Pu 0.794 0.794 0.000
Si 0.616 0.616 0.000

***

Arrangement Q

Material: YPuSi
Method: DFT, PBE
State: optimized geometry

## Properties
magnetization = 5.957 μB/cell
D(E_F) = 6.13 states/eV/f.u.
space group = P3m1 (156)
V = 24.00 Å³ per atom

a = 4.785 Å, b = 4.785 Å, c = 3.631 Å
α = 90.00°, β = 90.00°, γ = 120.00°
Fractional coordinates of all 3 atoms:
Y 0.000 0.000 0.000
Pu 0.667 0.333 0.436
Si 0.333 0.667 0.726

***

Arrangement R

Material: YPuSi
Method: DFT, PBE
State: optimized geometry

## Properties
magnetization = 12.080 μB/cell
D(E_F) = 6.57 states/eV/f.u.
space group = Pmmm (47)
V = 23.82 Å³ per atom

a = 3.437 Å, b = 4.809 Å, c = 8.645 Å
α = 90.00°, β = 90.00°, γ = 90.00°
Fractional coordinates of all 6 atoms:
Y 0.000 0.000 0.000
Y 0.000 0.500 0.500
Pu 0.500 0.000 0.334
Pu 0.500 0.000 0.666
Si 0.500 0.500 0.147
Si 0.500 0.500 0.853

***

Arrangement S

Material: YPuSi
Method: DFT, PBE
State: optimized geometry

## Properties
magnetization = 6.325 μB/cell
D(E_F) = 5.72 states/eV/f.u.
space group = F-43m (216)
V = 27.11 Å³ per atom

a = 4.863 Å, b = 4.863 Å, c = 4.863 Å
α = 60.00°, β = 60.00°, γ = 60.00°
Fractional coordinates of all 3 atoms:
Y 0.000 0.000 0.000
Pu 0.500 0.500 0.500
Si 0.250 0.250 0.250

***

Of them, arrangement P has the lowest stability.